Compound: ZnAgAu2
Source: the Alexandria database
Functional: GGA-PBEsol
Structure: relaxed

Calculated values
Total DFT energy (no corrections), Ha/atom: -0.120
Calculated density, g cm⁻³: 14.6
ΔH_f (0 K), meV/atom: -72.3
Magnetic moment, μB/atom: 0.0000

abc: 2.888 2.888 9.113
angles: 81.14 81.14 59.58
Sites, in units of the cell vectors:
Au: 0.755 0.755 0.734
Au: 0.999 0.999 0.002
Zn: 0.500 0.500 0.499
Ag: 0.246 0.246 0.264